# 1
6
Lattice="4.594 0.000 0.000 0.000 4.594 0.000 0.000 0.000 6.522" Properties=species:S:1:pos:R:3 comment="Na4HS (PBE, relaxed)" space_group="P4/mmm (123)" e_tot_ev_per_atom=-2.514 pbc="T T T"
Na 0.000 2.297 1.582
Na 0.000 2.297 4.941
Na 2.297 0.000 1.582
Na 2.297 0.000 4.941
H 0.000 0.000 0.000
S 2.297 2.297 3.261

# 2
4
Lattice="2.736 0.000 0.000 0.000 2.736 0.000 0.000 0.000 11.636" Properties=species:S:1:pos:R:3 comment="K2IrW (PBE, relaxed)" formation_energy_ev_per_atom=1.301 polymorph_energy_mev_per_atom=680 space_group="P4/mmm (123)" pbc="T T T"
K 0.000 0.000 2.682
K 0.000 0.000 8.954
Ir 1.368 1.368 0.000
W 1.368 1.368 5.818

# 3
12
Lattice="5.002 0.000 0.000 0.000 5.002 0.000 0.000 0.000 15.016" Properties=species:S:1:pos:R:3 comment="La9Al2Tl (PBE, relaxed)" formation_energy_ev_per_atom=-0.207 space_group="P4/mmm (123)" pbc="T T T"
La 0.000 0.000 0.000
La 0.000 0.000 5.052
La 0.000 0.000 9.964
La 0.000 2.501 2.593
La 0.000 2.501 7.508
La 0.000 2.501 12.423
La 2.501 0.000 2.593
La 2.501 0.000 7.508
La 2.501 0.000 12.423
Al 2.501 2.501 5.028
Al 2.501 2.501 9.987
Tl 2.501 2.501 0.000

# 4
4
Lattice="1.771 -2.064 0.000 1.771 2.064 0.000 0.000 0.000 10.025" Properties=species:S:1:pos:R:3 comment="NiPSe2 (PBE, relaxed)" raw_formation_energy_mev_per_atom=468 space_group="Cmmm (65)" pbc="T T T"
Ni 0.000 0.000 0.000
P 0.000 0.000 5.013
Se 1.771 0.000 1.816
Se 1.771 0.000 8.210

# 5
11
Lattice="7.495 0.000 0.000 -3.747 6.490 0.000 0.000 0.000 3.782" Properties=species:S:1:pos:R:3 comment="CaGa6Rh4 (PBE, relaxed)" formation_energy_ev_per_atom=-0.589 space_group="P-6m2 (187)" pbc="T T T"
Ca 0.000 0.000 0.000
Ga 0.000 2.491 1.891
Ga -1.590 5.245 1.891
Ga 3.747 0.416 0.000
Ga 2.234 3.037 0.000
Ga 1.590 5.245 1.891
Ga 5.261 3.037 0.000
Rh 0.000 4.327 0.000
Rh 2.281 1.317 1.891
Rh 5.214 1.317 1.891
Rh 3.747 3.857 1.891

# 6
3
Lattice="3.387 0.000 0.000 -1.694 2.933 0.000 0.000 0.000 7.196" Properties=species:S:1:pos:R:3 comment="AlSeS (PBE, relaxed)" raw_formation_energy_mev_per_atom=-623 polymorph_energy_mev_per_atom=18 space_group="P3m1 (156)" pbc="T T T"
Al 0.000 0.000 0.000
Se 1.694 0.978 1.905
S 0.000 1.955 5.997

# 7
16
Lattice="4.142 0.000 0.000 0.000 4.142 0.000 0.000 0.000 15.913" Properties=species:S:1:pos:R:3 comment="LiZn3Ag12 (PBE, relaxed)" formation_energy_ev_per_atom=-0.036 space_group="P4/mmm (123)" pbc="T T T"
Li 0.000 0.000 0.000
Zn 0.000 0.000 3.984
Zn 0.000 0.000 7.957
Zn 0.000 0.000 11.929
Ag 0.000 2.071 1.994
Ag 0.000 2.071 5.975
Ag 0.000 2.071 9.938
Ag 0.000 2.071 13.919
Ag 2.071 0.000 1.994
Ag 2.071 0.000 5.975
Ag 2.071 0.000 9.938
Ag 2.071 0.000 13.919
Ag 2.071 2.071 0.000
Ag 2.071 2.071 3.985
Ag 2.071 2.071 7.957
Ag 2.071 2.071 11.928

# 8
8
Lattice="-4.663 4.663 3.186 4.663 -4.663 3.186 4.663 4.663 -3.186" Properties=species:S:1:pos:R:3 comment="KSb2Te (PBE, relaxed)" raw_formation_energy_mev_per_atom=-53 space_group="I-42d (122)" pbc="T T T"
K 0.000 0.000 0.000
K 0.000 4.663 1.593
Sb 2.331 -2.000 2.390
Sb 2.663 2.331 0.797
Sb 2.331 6.662 -0.797
Sb 2.000 2.331 3.983
Te 4.663 0.000 1.593
Te 0.000 0.000 3.186

# 9
12
Lattice="0.000 5.093 8.797 3.801 0.000 8.797 3.801 5.093 0.000" Properties=species:S:1:pos:R:3 comment="La2Cd3Pb (PBE, relaxed)" formation_energy_ev_per_atom=-0.418 space_group="Fmmm (69)" pbc="T T T"
La 5.727 5.093 8.797
La 1.900 2.546 4.398
La 5.701 7.639 13.195
La 1.875 5.093 8.797
Cd 3.801 5.093 2.873
Cd 3.801 2.508 7.367
Cd 3.801 2.508 10.226
Cd 3.801 7.678 7.367
Cd 3.801 7.678 10.226
Cd 3.801 5.093 14.720
Pb 3.801 5.093 5.879
Pb 3.801 5.093 11.714

# 10
3
Lattice="2.675 0.000 0.000 1.331 2.426 0.000 1.156 0.884 6.452" Properties=species:S:1:pos:R:3 comment="GaH2 (PBE, relaxed)" polymorph_energy_mev_per_atom=1 space_group="P1 (1)" pbc="T T T"
Ga 0.000 0.000 0.000
H 3.161 1.387 3.590
H 3.189 1.369 2.834

# 11
5
Lattice="-1.781 1.781 7.617 1.781 -1.781 7.617 1.781 1.781 -7.617" Properties=species:S:1:pos:R:3 comment="HfBe2Te2 (PBE, relaxed)" raw_formation_energy_mev_per_atom=310 polymorph_energy_mev_per_atom=0 space_group="I4/mmm (139)" pbc="T T T"
Hf 0.000 0.000 0.000
Be 1.781 0.000 3.809
Be 0.000 1.781 3.809
Te 0.000 0.000 5.900
Te 0.000 0.000 9.334

# 12
4
Lattice="0.000 3.469 3.469 3.469 0.000 3.469 3.469 3.469 0.000" Properties=species:S:1:pos:R:3 comment="CaErZnRu (PBE, relaxed)" formation_energy_ev_per_atom=-0.143 space_group="F-43m (216)" pbc="T T T"
Ca 0.000 0.000 0.000
Er 3.469 3.469 3.469
Zn 5.204 5.204 5.204
Ru 1.735 1.735 1.735

# 13
5
Lattice="-2.009 2.009 6.432 2.009 -2.009 6.432 2.009 2.009 -6.432" Properties=species:S:1:pos:R:3 comment="Bi2TeO2 (PBE, relaxed)" raw_formation_energy_mev_per_atom=-906 space_group="I4/mmm (139)" pbc="T T T"
Bi 0.000 0.000 1.975
Bi 0.000 0.000 10.890
Te 0.000 0.000 6.432
O 2.009 0.000 3.216
O 0.000 2.009 3.216

# 14
7
Lattice="-2.506 2.506 8.018 2.506 -2.506 8.018 2.506 2.506 -8.018" Properties=species:S:1:pos:R:3 comment="NdPu2Hg4 (PBE, relaxed)" formation_energy_ev_per_atom=-0.139 space_group="I4/mmm (139)" pbc="T T T"
Nd 0.000 0.000 0.000
Pu 0.000 0.000 4.073
Pu 0.000 0.000 11.962
Hg 2.506 0.000 1.914
Hg 2.506 0.000 6.103
Hg 0.000 2.506 1.914
Hg 0.000 2.506 6.103

# 15
4
Lattice="0.000 3.902 3.902 3.902 0.000 3.902 3.902 3.902 0.000" Properties=species:S:1:pos:R:3 comment="In2TePb (PBE, relaxed)" raw_formation_energy_mev_per_atom=37 polymorph_energy_mev_per_atom=122 space_group="Fm-3m (225)" pbc="T T T"
In 1.951 1.951 1.951
In 5.853 5.853 5.853
Te 0.000 0.000 0.000
Pb 3.902 3.902 3.902

# 16
5
Lattice="5.754 0.000 0.000 0.000 5.754 0.000 0.000 0.000 5.561" Properties=species:S:1:pos:R:3 comment="SbPbSeI2 (PBE, relaxed)" raw_formation_energy_mev_per_atom=323 polymorph_energy_mev_per_atom=0 space_group="P4/mmm (123)" pbc="T T T"
Sb 0.000 0.000 0.000
Pb 2.877 2.877 0.000
Se 0.000 0.000 2.781
I 0.000 2.877 2.781
I 2.877 0.000 2.781

# 17
10
Lattice="6.480 0.000 0.000 0.000 6.480 0.000 0.000 0.000 3.572" Properties=species:S:1:pos:R:3 comment="Li2Ge2Ir (PBE, relaxed)" formation_energy_ev_per_atom=-0.311 polymorph_energy_mev_per_atom=59 space_group="P4/mbm (127)" pbc="T T T"
Li 1.086 2.153 0.000
Li 2.153 5.393 0.000
Li 4.326 1.086 0.000
Li 5.393 4.326 0.000
Ge 0.898 4.138 1.786
Ge 2.342 0.898 1.786
Ge 4.138 5.581 1.786
Ge 5.581 2.342 1.786
Ir 0.000 0.000 1.786
Ir 3.240 3.240 1.786

# 18
20
Lattice="5.420 -7.428 0.000 5.420 7.428 0.000 -5.413 0.000 8.588" Properties=species:S:1:pos:R:3 comment="La5Dy2Tm3 (PBE, relaxed)" formation_energy_ev_per_atom=0.163 space_group="C2/c (15)" pbc="T T T"
La 1.361 7.154 6.441
La -1.359 1.952 6.475
La 1.361 4.050 6.441
La 1.348 -1.952 2.181
La 4.067 0.349 2.147
La 1.361 -0.349 6.441
La 4.081 1.952 6.407
La 4.067 -4.050 2.147
La 6.787 -1.952 2.113
La 4.067 -7.154 2.147
Dy 1.356 1.939 0.529
Dy -1.351 -1.939 4.823
Dy 6.779 1.939 3.766
Dy 4.072 -1.939 8.060
Tm 1.380 1.879 3.788
Tm 4.067 3.416 2.147
Tm -1.326 -1.879 8.082
Tm 6.755 1.879 0.506
Tm 1.361 -3.416 6.441
Tm 4.048 -1.879 4.800

# 19
5
Lattice="-2.531 2.531 6.560 2.531 -2.531 6.560 2.531 2.531 -6.560" Properties=species:S:1:pos:R:3 comment="CsSb2P2 (PBE, relaxed)" raw_formation_energy_mev_per_atom=-12 polymorph_energy_mev_per_atom=109 space_group="I4/mmm (139)" pbc="T T T"
Cs 0.000 0.000 0.000
Sb 2.531 0.000 3.280
Sb 0.000 2.531 3.280
P 0.000 0.000 4.337
P 0.000 0.000 8.783

# 20
18
Lattice="8.058 -3.760 0.000 8.058 3.760 0.000 0.000 0.000 8.481" Properties=species:S:1:pos:R:3 comment="In2Hg5Pb2 (PBE, relaxed)" formation_energy_ev_per_atom=0.046 space_group="Cmce (64)" pbc="T T T"
In 8.058 2.734 7.247
In 8.058 1.026 3.007
In 8.058 -1.026 5.474
In 8.058 -2.734 1.234
Hg 0.000 0.000 4.241
Hg 5.844 2.513 1.471
Hg 5.844 1.247 5.711
Hg 10.271 2.513 1.471
Hg 10.271 1.247 5.711
Hg 8.058 0.000 0.000
Hg 5.844 -1.247 2.770
Hg 5.844 -2.513 7.010
Hg 10.271 -1.247 2.770
Hg 10.271 -2.513 7.010
Pb 3.346 0.000 4.241
Pb 4.712 0.000 0.000
Pb 11.404 0.000 0.000
Pb 12.770 0.000 4.241